[1]
DFT (PBE-GGA) results for an optimized crystal structure of Cr2GaBAs.

Values from the calculation:
Symmetry: No. 123
Magnetization: 8.24 μB/cell
Fermi-level density of states: 4.1 states/eV/cell
Volume: 21.74 Å³ per atom
Total energy: -4.943 eV/atom
Energy of formation from the pure elements: 1777 meV per atom

```
Cr2GaBAs
1.0
4.7939 0.0000 0.0000
0.0000 4.7939 0.0000
0.0000 0.0000 4.7305
Cr Ga B As
2 1 1 1
direct
0.0000 0.5000 0.0000 Cr
0.5000 0.0000 0.0000 Cr
0.0000 0.0000 0.0000 Ga
0.5000 0.5000 0.5000 B
0.0000 0.0000 0.5000 As
```

=====

[2]
DFT (PBE-GGA) results for an optimized crystal structure of Cr2BAsIr.

Values from the calculation:
Symmetry: No. 123
Magnetization: 6.59 μB/cell
Fermi-level density of states: 5.0 states/eV/cell
Volume: 16.15 Å³ per atom
Total energy: -6.485 eV/atom
Energy of formation from the pure elements: 1402 meV per atom

```
Cr2BAsIr
1.0
4.6211 0.0000 0.0000
0.0000 4.6211 0.0000
0.0000 0.0000 3.7807
Cr B As Ir
2 1 1 1
direct
0.0000 0.5000 0.0000 Cr
0.5000 0.0000 0.0000 Cr
0.0000 0.0000 0.5000 B
0.0000 0.0000 0.0000 As
0.5000 0.5000 0.5000 Ir
```

=====

[3]
DFT (PBE-GGA) results for an optimized crystal structure of LiCr2BAs.

Values from the calculation:
Symmetry: No. 123
Magnetization: 5.56 μB/cell
Fermi-level density of states: 2.6 states/eV/cell
Volume: 14.77 Å³ per atom
Total energy: -6.027 eV/atom
Energy of formation from the pure elements: 471 meV per atom

```
LiCr2BAs
1.0
4.1083 0.0000 0.0000
0.0000 4.1083 0.0000
0.0000 0.0000 4.3769
Li Cr B As
1 2 1 1
direct
0.0000 0.0000 0.0000 Li
0.0000 0.5000 0.5000 Cr
0.5000 0.0000 0.5000 Cr
0.5000 0.5000 0.5000 B
0.5000 0.5000 0.0000 As
```